(1)
The following is a SCAN calculation of a crystal of ZnCdAu relaxed with PBEsol, from the Alexandria database.

Output
**Spin magnetization**: 0.0 μB per formula unit
**Energy above the most stable polymorph in this dataset**: 0.0142 eV/atom
**Calculated formation energy**: -0.15 eV/atom
**Symmetry**: No. 44

Cell lengths 3.1990, 3.4977, 5.1221 Å; angles 109.96, 108.20, 90.00 degrees
With the nearest neighbours (Å) after each atom.
Element x y z (fractional)
Au  0.9856  0.9856  0.9713  4 Zn 2.69, 5 Cd 2.88-2.89
Zn  0.3460  0.3460  0.6919  4 Au 2.69, 5 Cd 2.87-2.93
Cd  0.6684  0.6684  0.3368  5 Zn 2.87-2.93, 5 Au 2.88-2.89, 2 Cd 3.20

(2)
The following is a SCAN calculation of a crystal of ZnCd2Au relaxed with PBEsol, from the Alexandria database.

Output
**Spin magnetization**: 0.0 μB per formula unit
**Calculated formation energy**: -0.09 eV/atom
**Symmetry**: No. 99

Cell lengths 3.3068, 3.3068, 6.5405 Å; angles 90.00, 90.00, 90.00 degrees
With the nearest neighbours (Å) after each atom.
Element x y z (fractional)
Cd  0.0000  0.0000  0.9850  4 Au 2.92, 4 Cd 2.99, 1 Zn 3.00
Cd  0.5000  0.5000  0.2699  4 Zn 2.88, 1 Au 2.94, 4 Cd 2.99
Au  0.5000  0.5000  0.7188  4 Zn 2.66, 5 Cd 2.92-2.94
Zn  0.0000  0.0000  0.5263  4 Au 2.66, 4 Cd 2.88

(3)
The following is a SCAN calculation of a crystal of ZnCdAu2 relaxed with PBEsol, from the Alexandria database.

Output
**Spin magnetization**: 0.0 μB per formula unit
**Calculated formation energy**: -0.26 eV/atom
**Symmetry**: No. 123

Cell lengths 3.1185, 3.1185, 6.8694 Å; angles 90.00, 90.00, 90.00 degrees
With the nearest neighbours (Å) after each atom.
Element x y z (fractional)
Zn  0.5000  0.5000  0.5000  8 Au 2.68
Cd  0.5000  0.5000  0.0000  8 Au 2.91, 4 Cd 3.12
Au  0.0000  0.0000  0.7225  4 Zn 2.68, 4 Cd 2.91
Au  0.0000  0.0000  0.2775  4 Zn 2.68, 4 Cd 2.91

(4)
The following is a SCAN calculation of a crystal of ZnCdAu2 relaxed with PBEsol, from the Alexandria database.

Output
**Spin magnetization**: 0.0 μB per formula unit
**Calculated formation energy**: -0.16 eV/atom
**Symmetry**: No. 99

Cell lengths 3.4415, 3.4415, 5.7787 Å; angles 90.00, 90.00, 90.00 degrees
With the nearest neighbours (Å) after each atom.
Element x y z (fractional)
Cd  0.0000  0.0000  0.4945  6 Au 2.78-3.00, 4 Zn 2.93
Zn  0.5000  0.5000  0.7765  5 Au 2.69-2.76, 4 Cd 2.93
Au  0.5000  0.5000  0.2535  2 Zn 2.76-3.02, 4 Cd 2.80, 4 Au 2.92
Au  0.0000  0.0000  0.9756  4 Zn 2.69, 2 Cd 2.78-3.00, 4 Au 2.92

(5)
The following is a SCAN calculation of a crystal of ZnCd2Au relaxed with PBEsol, from the Alexandria database.

Output
**Spin magnetization**: 0.0 μB per formula unit
**Calculated formation energy**: -0.09 eV/atom
**Symmetry**: No. 8

Cell lengths 3.3368, 4.7604, 4.9874 Å; angles 104.21, 109.54, 90.00 degrees
With the nearest neighbours (Å) after each atom.
Element x y z (fractional)
Zn  0.4897  0.4847  0.9793  3 Au 2.71-3.00, 7 Cd 2.84-2.99
Cd  0.2420  0.7395  0.4840  3 Cd 2.84-3.00, 4 Au 2.86-2.97, 3 Zn 2.89-2.90
Cd  0.0073  0.0128  0.0146  4 Zn 2.84-2.99, 3 Cd 2.84-3.00, 3 Au 2.87-2.90
Au  0.7610  0.2631  0.5220  3 Zn 2.71-3.00, 7 Cd 2.86-2.97

(6)
The following is a SCAN calculation of a crystal of ZnCdAu2 relaxed with PBEsol, from the Alexandria database.

Output
**Spin magnetization**: 0.0 μB per formula unit
**Calculated formation energy**: -0.18 eV/atom
**Symmetry**: No. 8

Cell lengths 3.3361, 4.4772, 5.0820 Å; angles 108.28, 109.16, 90.00 degrees
With the nearest neighbours (Å) after each atom.
Element x y z (fractional)
Au  0.7480  0.2676  0.4961  4 Zn 2.75-2.83, 3 Cd 2.81-2.86, 3 Au 2.92-3.05
Zn  0.2583  0.7861  0.5165  7 Au 2.68-2.95, 2 Cd 2.90
Cd  0.5043  0.4810  0.0085  7 Au 2.78-2.86, 3 Zn 2.90-3.10
Au  0.9894  0.9652  0.9788  3 Zn 2.68-2.95, 4 Cd 2.78-2.81, 2 Au 2.92

(7)
The following is a SCAN calculation of a crystal of ZnCd2Au relaxed with PBEsol, from the Alexandria database.

Output
**Spin magnetization**: 0.0 μB per formula unit
**Calculated formation energy**: -0.09 eV/atom
**Symmetry**: No. 44

Cell lengths 3.8489, 4.3248, 5.1466 Å; angles 114.84, 111.96, 90.00 degrees
With the nearest neighbours (Å) after each atom.
Element x y z (fractional)
Au  0.7622  0.2622  0.5244  2 Zn 2.73, 8 Cd 2.90-3.00
Cd  0.0060  0.0060  0.0121  4 Zn 2.90, 4 Au 2.91-3.00, 4 Cd 2.95-2.96
Cd  0.2429  0.7429  0.4857  4 Zn 2.89-3.01, 4 Au 2.90, 4 Cd 2.95-2.96
Zn  0.4889  0.4889  0.9778  2 Au 2.73, 8 Cd 2.89-3.01

(8)
The following is a SCAN calculation of a crystal of ZnCd2Au relaxed with PBEsol, from the Alexandria database.

Output
**Spin magnetization**: 0.0 μB per formula unit
**Calculated formation energy**: -0.09 eV/atom
**Symmetry**: No. 119

Cell lengths 4.1296, 4.1296, 5.0588 Å; angles 114.09, 114.09, 90.00 degrees
With the nearest neighbours (Å) after each atom.
Element x y z (fractional)
Cd  0.7500  0.2500  0.5000  4 Au 2.92, 4 Cd 2.92, 4 Zn 2.92
Au  0.2500  0.7500  0.5000  8 Cd 2.92, 4 Zn 2.92
Zn  0.5000  0.5000  0.0000  8 Cd 2.92, 4 Au 2.92
Cd  0.0000  0.0000  0.0000  4 Zn 2.92, 4 Cd 2.92, 4 Au 2.92